Sm3Mg2CrS8: optimized geometry, GGA-PBE.

Output
E_tot, eV per atom: -5.8250

Unit cell a=7.799 b=7.799 c=7.799 alpha=60.83 beta=60.83 gamma=60.83
Element x y z (fractional)
Sm 0.000 0.500 0.500
Sm 0.500 0.000 0.500
Sm 0.500 0.500 0.000
Mg 0.126 0.126 0.126
Mg 0.874 0.874 0.874
Cr 0.500 0.500 0.500
S 0.253 0.253 0.253
S 0.268 0.728 0.728
S 0.272 0.272 0.732
S 0.272 0.732 0.272
S 0.728 0.268 0.728
S 0.728 0.728 0.268
S 0.732 0.272 0.272
S 0.747 0.747 0.747